(1)
VASP calculation (GGA-PBE) on a relaxed structure of ScPaCd4.

Computed properties:
total DFT energy (no corrections) = -0.1176 hartree per atom
theoretical density = 8.64 g/cm3
energy of formation = 0.049 eV per atom
SG = No. 216

a = 5.8213 Å, b = 5.8213 Å, c = 5.8213 Å
α = 60.00°, β = 60.00°, γ = 60.00°
With the nearest neighbours (Å) after each atom.
Atoms (fractional coordinates):
Cd: 0.6251 0.6251 0.6251  6 Cd 2.91
Cd: 0.6251 0.6251 0.1246  6 Cd 2.91
Cd: 0.1246 0.6251 0.6251  6 Cd 2.91
Cd: 0.6251 0.1246 0.6251  6 Cd 2.91
Pa: 0.2500 0.2500 0.2500  12 Cd 3.41, 4 Sc 3.56
Sc: 0.0000 0.0000 0.0000  12 Cd 3.41, 4 Pa 3.56

=====

(2)
VASP calculation (GGA-PBE) on a relaxed structure of ScPaCd2.

Computed properties:
total DFT energy (no corrections) = -0.1642 hartree per atom
theoretical density = 9.08 g/cm3
energy of formation = -0.054 eV per atom
SG = No. 123

a = 3.1571 Å, b = 3.1571 Å, c = 9.1921 Å
α = 90.00°, β = 90.00°, γ = 90.00°
With the nearest neighbours (Å) after each atom.
Atoms (fractional coordinates):
Cd: 0.0000 0.0000 0.7672  4 Sc 3.09, 4 Cd 3.16, 4 Pa 3.32
Sc: 0.5000 0.5000 0.0000  8 Cd 3.09, 4 Sc 3.16
Cd: 0.0000 0.0000 0.2328  4 Sc 3.09, 4 Cd 3.16, 4 Pa 3.32
Pa: 0.5000 0.5000 0.5000  4 Pa 3.16, 8 Cd 3.32

=====

(3)
VASP calculation (GGA-PBE) on a relaxed structure of ScPaCd.

Computed properties:
total DFT energy (no corrections) = -0.2023 hartree per atom
theoretical density = 9.01 g/cm3
energy of formation = 0.077 eV per atom
offset from the most stable computed form = 0.25 eV per formula unit
SG = No. 12

a = 4.2993 Å, b = 4.2993 Å, c = 7.8763 Å
α = 97.29°, β = 97.29°, γ = 89.33°
With the nearest neighbours (Å) after each atom.
Atoms (fractional coordinates):
Sc: 0.9061 0.9061 0.6748  5 Cd 3.00-3.11, 1 Sc 3.17, 2 Pa 3.26
Pa: 0.5000 0.0000 0.0000  4 Pa 3.02-3.06, 4 Sc 3.26-3.37, 4 Cd 3.32-3.37
Cd: 0.4139 0.4139 0.6693  5 Sc 3.00-3.11, 1 Cd 3.04, 2 Pa 3.32
Pa: 0.0000 0.5000 0.0000  4 Pa 3.02-3.06, 4 Sc 3.26-3.37, 4 Cd 3.32-3.37
Cd: 0.5861 0.5861 0.3307  5 Sc 3.00-3.11, 1 Cd 3.04, 2 Pa 3.32
Sc: 0.0939 0.0939 0.3252  5 Cd 3.00-3.11, 1 Sc 3.17, 2 Pa 3.26

=====

Please write out number 2 again, unchanged.
VASP calculation (GGA-PBE) on a relaxed structure of ScPaCd2.

Computed properties:
total DFT energy (no corrections) = -0.1642 hartree per atom
theoretical density = 9.08 g/cm3
energy of formation = -0.054 eV per atom
SG = No. 123

a = 3.1571 Å, b = 3.1571 Å, c = 9.1921 Å
α = 90.00°, β = 90.00°, γ = 90.00°
With the nearest neighbours (Å) after each atom.
Atoms (fractional coordinates):
Cd: 0.0000 0.0000 0.7672  4 Sc 3.09, 4 Cd 3.16, 4 Pa 3.32
Sc: 0.5000 0.5000 0.0000  8 Cd 3.09, 4 Sc 3.16
Cd: 0.0000 0.0000 0.2328  4 Sc 3.09, 4 Cd 3.16, 4 Pa 3.32
Pa: 0.5000 0.5000 0.5000  4 Pa 3.16, 8 Cd 3.32

=====

Look up the total DFT energy (no corrections) of the first one. -0.1176 hartree per atom

=====

Which value of energy of formation does entry 3 give? 0.077 eV per atom

=====

What is the energy of formation in the first record? 0.049 eV per atom